The following is a PBE-GGA calculation of a relaxed structure of Hf2VGe3, from the Alexandria database.

Results
- total moment (μB/cell) = 1.8
- ΔE_f (kcal/mol of atoms) = -7.5
- density of states at the Fermi level (states/eV/f.u.) = 3.6
- calculated density (g/cm³) = 9.23

```
data_Hf2VGe3
_chemical_formula_sum 'Hf4 V2 Ge6'
_cell_length_a 3.7858
_cell_length_b 5.3422
_cell_length_c 11.1338
_cell_angle_alpha 90.00
_cell_angle_beta 90.00
_cell_angle_gamma 90.00
_space_group_name_H-M_alt 'I m m m'
_space_group_IT_number 71
_space_group_name_Hall '-I 2 2'
loop_
_atom_site_label
_atom_site_fract_x
_atom_site_fract_y
_atom_site_fract_z
Hf1 0.0000 0.0000 0.1719
V1 0.0000 0.0000 0.5000
Ge1 0.0000 0.5000 0.1542
Ge2 0.0000 0.5000 0.5000
```

=====

The following is a PBE-GGA calculation of a relaxed structure of HoIn12Hg6, from the Alexandria database.

Results
- total moment (μB/cell) = 0.0
- ΔE_f (kcal/mol of atoms) = -0.8
- density of states at the Fermi level (states/eV/f.u.) = 8.5
- calculated density (g/cm³) = 8.82

```
data_HoIn12Hg6
_chemical_formula_sum 'Ho3 In36 Hg18'
_cell_length_a 11.3280
_cell_length_b 11.3280
_cell_length_c 13.9613
_cell_angle_alpha 90.00
_cell_angle_beta 90.00
_cell_angle_gamma 120.00
_space_group_name_H-M_alt 'R -3'
_space_group_IT_number 148
_space_group_name_Hall '-R 3'
loop_
_atom_site_label
_atom_site_fract_x
_atom_site_fract_y
_atom_site_fract_z
Ho1 0.0000 0.0000 0.0000
In1 0.0464 0.1847 0.4040
In2 0.1001 0.1997 0.1821
Hg1 0.0145 0.5377 0.6240
```